[1]
Material: Hf2ZrPd2
Method: DFT, PBE
State: relaxed

## Properties
Total DFT energy (no corrections) ... -40.18 eV for the cell shown
Space-group type ... I4/mmm

Cell lengths 6.1669, 6.1669, 6.1669 Å; angles 137.58, 137.58, 61.54 degrees
Atoms (fractional coordinates):
Hf (0.2500, 0.7500, 0.5000)
Hf (0.7500, 0.2500, 0.5000)
Zr (0.0000, 0.0000, 0.0000)
Pd (0.3819, 0.3819, 0.0000)
Pd (0.6181, 0.6181, 0.0000)

[2]
Material: LuS
Method: DFT, PBE
State: relaxed

## Properties
Total DFT energy (no corrections) ... -12.39 eV for the cell shown
Space-group type ... Fm-3m

Cell lengths 3.8000, 3.8000, 3.8000 Å; angles 60.00, 60.00, 60.00 degrees
Atoms (fractional coordinates):
Lu (0.0000, 0.0000, 0.0000)
S (0.5000, 0.5000, 0.5000)

[3]
Material: GaFeNiPd
Method: DFT, PBE
State: relaxed

## Properties
Space-group type ... F-43m
Offset from the most stable computed form ... 0 meV/atom

Cell lengths 4.2182, 4.2182, 4.2182 Å; angles 60.00, 60.00, 60.00 degrees
Atoms (fractional coordinates):
Ga (0.0000, 0.0000, 0.0000)
Fe (0.5000, 0.5000, 0.5000)
Ni (0.2500, 0.2500, 0.2500)
Pd (0.7500, 0.7500, 0.7500)

[4]
Material: ZrNbFeSb
Method: DFT, PBE
State: relaxed

## Properties
Space-group type ... F-43m
Offset from the most stable computed form ... 0 meV/atom

Cell lengths 4.6315, 4.6315, 4.6315 Å; angles 60.00, 60.00, 60.00 degrees
Atoms (fractional coordinates):
Zr (0.0000, 0.0000, 0.0000)
Nb (0.2500, 0.2500, 0.2500)
Fe (0.7500, 0.7500, 0.7500)
Sb (0.5000, 0.5000, 0.5000)

[5]
Material: HoBiPt
Method: DFT, PBE
State: relaxed

## Properties
Total DFT energy (no corrections) ... -17.81 eV for the cell shown
Space-group type ... F-43m

Cell lengths 4.7493, 4.7493, 4.7493 Å; angles 60.00, 60.00, 60.00 degrees
Atoms (fractional coordinates):
Ho (0.0000, 0.0000, 0.0000)
Bi (0.5000, 0.5000, 0.5000)
Pt (0.7500, 0.7500, 0.7500)

[6]
Material: LaHf2Sn
Method: DFT, PBE
State: relaxed

## Properties
Total DFT energy (no corrections) ... -56.92 eV for the cell shown
Space-group type ... P6_3/mmc

Cell lengths 4.9971, 4.9971, 9.9979 Å; angles 90.00, 90.00, 120.00 degrees
Atoms (fractional coordinates):
La (0.3333, 0.6667, 0.2500)
La (0.6667, 0.3333, 0.7500)
Hf (0.3333, 0.6667, 0.5748)
Hf (0.3333, 0.6667, 0.9252)
Hf (0.6667, 0.3333, 0.0748)
Hf (0.6667, 0.3333, 0.4252)
Sn (0.0000, 0.0000, 0.0000)
Sn (0.0000, 0.0000, 0.5000)

Number 1: total moment 0.0 μB/cell. Number 2: total moment 0.0 μB/cell. Number 3: total moment 3.2 μB/cell. Number 4: total moment 2.0 μB/cell. Number 5: total moment 0.0 μB/cell. Number 6: total moment 0.0 μB/cell.